A geometry-optimized SiBiIr structure. Source: the Alexandria database, functional PBE.

Formation energy from raw total energies (eV/atom): 0.06
Final energy (Ry/atom): -0.441
Spin magnetization (μB per formula unit): 0.00

Unit cell a=3.6114 b=3.6103 c=11.2824 alpha=90.00 beta=90.00 gamma=120.01
With the nearest neighbours (Å) after each atom.
Fractional positions:
1 Ir 0.4449 0.8897 0.0000  6 Si 2.45
2 Ir 0.4440 0.8880 0.5000  6 Bi 2.77
3 Bi 0.7773 0.5547 0.3379  3 Ir 2.77
4 Bi 0.7773 0.5547 0.6621  3 Ir 2.77
5 Si 0.1115 0.2230 0.8858  3 Ir 2.45, 1 Si 2.58
6 Si 0.1115 0.2230 0.1142  3 Ir 2.45, 1 Si 2.58

---

A geometry-optimized ZrZn2Au structure. Source: the Alexandria database, functional PBE.

Energy of formation from the pure elements (eV/atom): -0.276
Final energy (Ry/atom): -0.284
Spin magnetization (μB per formula unit): 0.00

Unit cell a=3.0877 b=3.2630 c=6.9189 alpha=90.00 beta=90.00 gamma=90.00
With the nearest neighbours (Å) after each atom.
Fractional positions:
1 Zn 0.0000 0.0000 0.0087  4 Zn 2.69, 4 Au 2.77
2 Zn 0.5000 0.5000 0.2228  4 Zn 2.69, 4 Zr 2.93
3 Au 0.5000 0.5000 0.7747  5 Zn 2.77-3.10, 4 Zr 2.97, 2 Au 3.09
4 Zr 0.0000 0.0000 0.4938  4 Zn 2.93, 4 Au 2.97, 4 Zr 3.09-3.26